1.
A relaxed structure of Fe2RePb, computed with PBE.

Unit cell a=3.747 b=4.068 c=4.068 alpha=90.00 beta=90.00 gamma=90.00
Each line ends with the local moment (μB).
Element x y z (fractional)
Pb  0.500  0.500  0.000  -0.06
Re  0.500  0.000  0.500  0.60
Fe  0.000  0.000  0.000  2.57
Fe  0.000  0.500  0.500  2.57

Energy of formation ... 668 meV per atom



2.
A relaxed structure of Li6CaHg4, computed with PBE.

Unit cell a=4.095 b=8.034 c=8.034 alpha=120.00 beta=90.00 gamma=90.00
Element x y z (fractional)
Hg  0.500  0.385  0.193
Li  0.000  0.935  0.468
Li  0.000  0.532  0.468
Li  0.500  0.203  0.797
Hg  0.000  0.333  0.667
Li  0.500  0.595  0.797
Hg  0.500  0.807  0.615
Ca  0.000  0.000  0.000
Hg  0.500  0.807  0.193
Li  0.500  0.203  0.405
Li  0.000  0.532  0.065

Energy of formation ... -322 meV per atom



3.
A relaxed structure of TmSc5Zn6, computed with PBE.

Unit cell a=4.766 b=6.792 c=8.268 alpha=114.25 beta=106.75 gamma=90.00
Element x y z (fractional)
Zn  0.500  0.263  0.000
Zn  0.830  0.574  0.661
Tm  0.000  0.000  0.000
Sc  0.668  0.668  0.336
Zn  0.500  0.737  0.000
Sc  0.335  0.835  0.669
Zn  0.170  0.913  0.339
Sc  0.332  0.332  0.664
Zn  0.170  0.426  0.339
Zn  0.830  0.087  0.661
Sc  0.000  0.500  0.000
Sc  0.665  0.165  0.331

Energy of formation ... -365 meV per atom



4.
A relaxed structure of Sr2WBr, computed with PBE.

Unit cell a=5.867 b=5.867 c=3.367 alpha=89.91 beta=89.91 gamma=90.02
Each line ends with the local moment (μB).
Element x y z (fractional)
W  0.500  0.000  0.500  1.28
Sr  0.000  0.000  0.000  0.01
Br  0.000  0.500  0.500  0.02
Sr  0.500  0.500  0.000  0.01

Formation energy (no corrections) ... 142 kJ/mol of formula units
ΔE to the lowest computed polymorph ... 0.194 eV per atom



5.
A relaxed structure of Pm4Cu3Ru, computed with PBE.

Unit cell a=3.880 b=4.502 c=10.593 alpha=90.00 beta=90.00 gamma=90.00
Element x y z (fractional)
Cu  0.500  0.000  0.929
Pm  0.000  0.500  0.869
Pm  0.500  0.500  0.348
Pm  0.500  0.000  0.640
Ru  0.500  0.500  0.080
Cu  0.000  0.500  0.564
Cu  0.000  0.000  0.432
Pm  0.000  0.000  0.139

Energy of formation ... -212 meV per atom



6.
A relaxed structure of Sm2ReRu3, computed with PBE.

Unit cell a=5.600 b=5.600 c=8.230 alpha=90.00 beta=90.00 gamma=120.00
Element x y z (fractional)
Ru  0.831  0.169  0.750
Ru  0.338  0.169  0.750
Sm  0.333  0.667  0.561
Ru  0.662  0.831  0.250
Ru  0.169  0.338  0.250
Re  0.000  0.000  0.000
Re  0.000  0.000  0.500
Sm  0.667  0.333  0.439
Ru  0.831  0.662  0.750
Sm  0.333  0.667  0.939
Sm  0.667  0.333  0.061
Ru  0.169  0.831  0.250

Energy of formation ... -201 meV per atom



no.,DOS(E_F) (states/eV/f.u.)
1,3.33
2,4.20
3,11.08
4,3.75
5,7.01
6,5.14